{
  "formula": "PmZr2VO8",
  "functional": "GGA+U",
  "state": "relaxed",
  "cell": [[3.427, -3.516, 0.000], [3.427, 3.516, 0.000], [0.000, 0.000, 6.584]],
  "species": ["Pm", "Zr", "Zr", "V", "O", "O", "O", "O", "O", "O", "O", "O"],
  "frac_coords": [[0.000, 0.000, 0.000], [0.500, 0.500, 0.258], [0.500, 0.500, 0.742], [0.000, 0.000, 0.500], [0.191, 0.191, 0.295], [0.191, 0.191, 0.705], [0.290, 0.710, 0.500], [0.322, 0.678, 0.000], [0.678, 0.322, 0.000], [0.710, 0.290, 0.500], [0.809, 0.809, 0.295], [0.809, 0.809, 0.705]],
  "n_ef_per_ev_atom": 0.000,
  "energy_ev_per_cell": -102.9
}